Ba2Sb3Os2: optimized geometry, PBE.

E ... -5.701 eV per atom
Total magnetic moment ... 0.03 μB per formula unit
Crystal system ... monoclinic

Unit cell a=18.5467 b=4.2656 c=12.4788 alpha=90.00 beta=120.85 gamma=90.00
Space group C2/m (No. 12)
Symmetry-distinct sites (fractional):
Ba 0.1093 0.0000 0.4625
Ba 0.2272 0.0000 0.8425
Sb 0.0656 0.5000 0.6656
Sb 0.1056 0.0000 0.9756
Sb 0.1565 0.5000 0.2912
Os 0.0114 0.5000 0.8272
Os 0.0583 0.0000 0.1475